(1)
DFT (meta-GGA SCAN) results for a PBEsol-optimized structure of ScTcSN2.

The structure in POSCAR format:
```
ScTcSN2
1.0
3.7800 0.0000 0.0000
0.0000 3.7800 0.0000
0.0000 0.0000 4.8347
N Tc Sc S
2 1 1 1
Direct
0.5000 0.0000 0.0000
0.0000 0.5000 0.0000
0.0000 0.0000 0.0000
0.5000 0.5000 0.5000
0.0000 0.0000 0.5000
```

Values from the calculation:
- Uncorrected energy: -15.852 eV/atom
- Size of the total moment: 0.00 Bohr magnetons per cell
- Raw formation energy: -33.8 kJ/mol of atoms
- Space-group type: P4/mmm (123)
- Crystal system: tetragonal

=====

(2)
DFT (meta-GGA SCAN) results for a PBEsol-optimized structure of Rb4Sn2Au7.

The structure in POSCAR format:
```
Rb4Sn2Au7
1.0
-0.7179 -6.6873 -0.8562
1.8297 -4.2662 4.9417
-8.5164 -3.1714 5.0664
Rb Sn Au
4 2 7
Direct
0.3159 0.3159 0.0522
0.8123 0.8123 0.5630
0.6841 0.6841 0.9478
0.1877 0.1877 0.4370
0.5496 0.5496 0.3511
0.4504 0.4504 0.6489
0.1930 0.7878 0.2314
0.8070 0.2122 0.7686
0.2122 0.8070 0.7686
0.2122 0.2122 0.7686
0.0000 0.0000 0.0000
0.7878 0.1930 0.2314
0.7878 0.7878 0.2314
```

Values from the calculation:
- Uncorrected energy: -49.616 eV/atom
- Size of the total moment: 0.00 Bohr magnetons per cell
- Space-group type: R-3m (166)
- Crystal system: trigonal
- ΔE_f: -0.470 eV per atom

=====

(3)
DFT (meta-GGA SCAN) results for a PBEsol-optimized structure of NiMoBrCl2.

The structure in POSCAR format:
```
NiMoBrCl2
1.0
-2.4793 2.0514 2.8404
-2.5163 -3.4638 0.3053
3.1040 -1.8955 4.0784
Mo Br Cl Ni
1 1 2 1
Direct
0.0000 0.0000 0.5000
0.5000 0.5000 0.5000
0.0000 0.5000 0.0000
0.5000 0.0000 0.0000
0.0000 0.0000 0.0000
```

Values from the calculation:
- Uncorrected energy: -17.173 eV/atom
- Size of the total moment: 3.40 Bohr magnetons per cell
- Raw formation energy: 11.7 kJ/mol of atoms
- Space-group type: P4/mmm (123)
- Crystal system: tetragonal

=====

(4)
DFT (meta-GGA SCAN) results for a PBEsol-optimized structure of GeIO2.

The structure in POSCAR format:
```
GeIO2
1.0
4.2744 0.0000 0.0000
2.1372 3.7017 0.0000
2.1372 1.2339 3.4900
I O Ge
1 2 1
Direct
0.5000 0.5000 0.5000
0.2500 0.2500 0.2500
0.7500 0.7500 0.7500
0.0000 0.0000 0.0000
```

Values from the calculation:
- Uncorrected energy: -16.431 eV/atom
- Size of the total moment: 0.00 Bohr magnetons per cell
- Raw formation energy: 61.9 kJ/mol of atoms
- Space-group type: Fm-3m (225)
- Crystal system: cubic

=====

(5)
DFT (meta-GGA SCAN) results for a PBEsol-optimized structure of AlCdFe2.

The structure in POSCAR format:
```
AlCdFe2
1.0
-1.8427 1.9228 0.3597
-1.6480 -2.2707 3.7264
3.3516 2.9763 1.2909
Fe Cd Al
2 1 1
Direct
0.0000 0.5000 0.0000
0.0000 0.0000 0.5000
0.5000 0.0000 0.0000
0.5000 0.5000 0.5000
```

Values from the calculation:
- Uncorrected energy: -18.547 eV/atom
- Size of the total moment: 4.99 Bohr magnetons per cell
- Space-group type: Cmmm (65)
- Crystal system: orthorhombic
- ΔE_f: 0.059 eV per atom

=====

(6)
DFT (meta-GGA SCAN) results for a PBEsol-optimized structure of BaHgSb4.

The structure in POSCAR format:
```
BaHgSb4
1.0
-1.8683 -5.9905 -0.9547
1.1651 -2.8406 -5.5553
4.3059 -4.6506 -0.3450
Hg Sb Ba
1 4 1
Direct
0.0000 0.0000 0.0000
0.3722 0.3722 0.8835
0.3722 0.8835 0.3722
0.3722 0.3722 0.3722
0.8835 0.3722 0.3722
0.7500 0.7500 0.7500
```

Values from the calculation:
- Uncorrected energy: -43.132 eV/atom
- Size of the total moment: 0.00 Bohr magnetons per cell
- Raw formation energy: -32.7 kJ/mol of atoms
- Space-group type: F-43m (216)
- Crystal system: cubic

=====

(7)
DFT (meta-GGA SCAN) results for a PBEsol-optimized structure of ZrI2.

The structure in POSCAR format:
```
ZrI2
1.0
-2.7396 2.3966 -0.6327
-4.4181 -4.3080 2.8117
3.3563 7.2359 12.8752
I Zr
8 4
Direct
0.2500 0.5481 0.8558
0.2500 0.3995 0.3920
0.7500 0.8913 0.3558
0.2500 0.9460 0.1080
0.7500 0.4519 0.1442
0.7500 0.0540 0.8920
0.7500 0.6005 0.6080
0.2500 0.1087 0.6442
0.2500 0.8093 0.4963
0.7500 0.1907 0.5037
0.7500 0.6894 0.9965
0.2500 0.3106 0.0035
```

Values from the calculation:
- Uncorrected energy: -35.685 eV/atom
- Size of the total moment: 0.00 Bohr magnetons per cell
- Raw formation energy: -92.4 kJ/mol of atoms
- Space-group type: P2_1/m (11)
- Crystal system: monoclinic

=====

(8)
DFT (meta-GGA SCAN) results for a PBEsol-optimized structure of Na2BeB2O5.

The structure in POSCAR format:
```
Na2BeB2O5
1.0
-2.2013 -4.4401 -0.7222
4.9705 -0.6119 -0.0413
-0.8325 -0.0227 8.8953
O Na B Be
10 4 4 2
Direct
0.2423 0.4217 0.1291
0.9247 0.0753 0.2500
0.7577 0.5783 0.8709
0.9831 0.3256 0.6577
0.3256 0.9831 0.1577
0.0169 0.6744 0.3423
0.0753 0.9247 0.7500
0.4217 0.2423 0.6291
0.5783 0.7577 0.3709
0.6744 0.0169 0.8423
0.7070 0.3198 0.0740
0.6802 0.2930 0.4260
0.2930 0.6802 0.9260
0.3198 0.7070 0.5740
0.1591 0.1709 0.6771
0.8291 0.8409 0.8229
0.8409 0.8291 0.3229
0.1709 0.1591 0.1771
0.7110 0.2890 0.7500
0.2890 0.7110 0.2500
```

Values from the calculation:
- Uncorrected energy: -8.471 eV/atom
- Size of the total moment: 0.01 Bohr magnetons per cell
- Raw formation energy: -250.0 kJ/mol of atoms
- Space-group type: C2/c (15)
- Crystal system: monoclinic

=====

(9)
DFT (meta-GGA SCAN) results for a PBEsol-optimized structure of CdSb2.

The structure in POSCAR format:
```
CdSb2
1.0
4.0518 0.0000 0.0000
0.0000 8.1610 0.0000
0.0000 -4.0805 7.0677
Cd Sb
3 6
Direct
0.0000 0.3333 0.6667
0.5000 0.0000 0.0000
0.0000 0.6667 0.3333
0.0000 0.0000 0.2792
0.0000 0.2792 0.0000
0.0000 0.7208 0.7208
0.5000 0.5634 0.0000
0.5000 0.0000 0.5634
0.5000 0.4366 0.4366
```

Values from the calculation:
- Uncorrected energy: -34.783 eV/atom
- Size of the total moment: 0.00 Bohr magnetons per cell
- Raw formation energy: 18.9 kJ/mol of atoms
- Space-group type: P-62m (189)
- Crystal system: hexagonal

=====

(10)
DFT (meta-GGA SCAN) results for a PBEsol-optimized structure of Sr2RePt.

The structure in POSCAR format:
```
Sr2RePt
1.0
-2.6938 -1.0516 0.3707
0.2435 -2.3965 -5.0300
2.0171 -3.9931 3.3301
Pt Sr Re
1 2 1
Direct
0.5000 0.0000 0.0000
0.0000 0.0000 0.5000
0.0000 0.5000 0.0000
0.5000 0.5000 0.5000
```

Values from the calculation:
- Uncorrected energy: -45.912 eV/atom
- Size of the total moment: 0.00 Bohr magnetons per cell
- Space-group type: Cmmm (65)
- Crystal system: orthorhombic
- ΔE_f: 0.548 eV per atom

=====

(11)
DFT (meta-GGA SCAN) results for a PBEsol-optimized structure of Co2PbW.

The structure in POSCAR format:
```
Co2PbW
1.0
-0.3812 -1.8232 -2.2122
-1.7522 -2.9500 2.7332
-3.0490 4.1454 -1.0008
W Co Pb
1 2 1
Direct
0.2681 0.7681 0.5362
0.7341 0.2341 0.4682
0.0084 0.0084 0.0168
0.4894 0.4894 0.9788
```

Values from the calculation:
- Uncorrected energy: -44.229 eV/atom
- Size of the total moment: 0.61 Bohr magnetons per cell
- Space-group type: Imm2 (44)
- Crystal system: orthorhombic
- ΔE_f: 0.790 eV per atom

=====

(12)
DFT (meta-GGA SCAN) results for a PBEsol-optimized structure of Li2CaMn.

The structure in POSCAR format:
```
Li2CaMn
1.0
4.1600 0.0000 0.0000
0.0000 4.1600 0.0000
-2.0800 -2.0800 10.6331
Li Ca Mn
4 2 2
Direct
0.3317 0.3750 0.2500
0.9183 0.8750 0.2500
0.6250 0.0817 0.7500
0.1250 0.6683 0.7500
0.5000 0.5000 0.0000
0.7500 0.2500 0.5000
0.2500 0.7500 0.5000
0.0000 0.0000 0.0000
```

Values from the calculation:
- Uncorrected energy: -7.894 eV/atom
- Size of the total moment: 8.17 Bohr magnetons per cell
- Space-group type: I-42d (122)
- Crystal system: tetragonal
- ΔE_f: 0.281 eV per atom

=====

Q: Which value of uncorrected energy does entry 2 give?
A: -49.616 eV/atom

=====

Q: Look up the uncorrected energy of the third one.
A: -17.173 eV/atom

=====

Q: size of the total moment of number 5 (AlCdFe2)?
A: 4.99 Bohr magnetons per cell